SnGe6Se8 | GGA-PBE | relaxed

Magnetic moment (μB/f.u.): 0.00
E_form (uncorrected) (kJ/mol of formula units): -311

Cell lengths 9.3075, 9.3075, 16.8944 Å; angles 90.00, 90.00, 120.00 degrees
Space group R-3 (No. 148, hexagonal axes)
One atom of each set of equivalent atoms:
Sn  0.0000  0.0000  0.0000 (multiplicity 3)
Ge  0.0032  0.2429  0.3630 (multiplicity 18)
Se  0.0000  0.0000  0.2878 (multiplicity 6)
Se  0.0357  0.7703  0.0883 (multiplicity 18)